Material: ZnReTc
Method: DFT, PBE
State: relaxed

The structure belongs to space group P3m1 (No. 156); the cell edges are 2.7764, 2.7764 and 6.6522 Å and the angles 90.00°, 90.00° and 120.00°. The distinct sites, in fractional coordinates, are Zn at (0.0000, 0.0000, 0.0000), Re at (0.6667, 0.3333, 0.3459) and Tc at (0.3333, 0.6667, 0.6579).

As for the density of states at the Fermi level: 1.45 states/eV/f.u. Its volume is 44 Å³ per cell. The polymorph energy (0 for the lowest one) comes out at 0.000 eV per formula unit. Its energy is -0.2940 Ha/atom.

=====

Material: ZnRe2Tc
Method: DFT, PBE
State: relaxed

The structure belongs to space group P4mm (No. 99); the cell edges are 2.7876, 2.7876 and 7.5744 Å and the angles 90.00°, 90.00° and 90.00°. The distinct sites, in fractional coordinates, are Zn at (0.0000, 0.0000, 0.0000), Re at (0.0000, 0.0000, 0.5034), Re at (0.5000, 0.5000, 0.2545) and Tc at (0.5000, 0.5000, 0.7479).

As for the density of states at the Fermi level: 2.70 states/eV/f.u. Its volume is 59 Å³ per cell. Its energy is -0.3310 Ha/atom.

=====

Material: ZnReTc2
Method: DFT, PBE
State: relaxed

The structure belongs to space group P4/mmm (No. 123); the cell edges are 3.0754, 3.0754 and 6.1408 Å and the angles 90.00°, 90.00° and 90.00°. The distinct sites, in fractional coordinates, are Zn at (0.0000, 0.0000, 0.0000), Re at (0.0000, 0.0000, 0.5000) and Tc at (0.5000, 0.5000, 0.2479).

As for the density of states at the Fermi level: 4.10 states/eV/f.u. Its volume is 58 Å³ per cell. Its energy is -0.3118 Ha/atom.